Material: HfScSe3
Method: DFT, GGA-PBE
State: relaxed

## Properties
The energy above the most stable polymorph in this dataset comes out at 1153 meV/atom. Its energy relative to the elements, uncorrected is -0.309 eV/atom. The crystal system is cubic. Its volume is 127.0 Å³ per cell. The calculation puts the calculated total energy at -5.6568 eV per atom.

Unit cell a=5.0262 b=5.0262 c=5.0262 alpha=90.00 beta=90.00 gamma=90.00
With the nearest neighbours (Å) after each atom.
Fractional positions:
1 Sc 0.0000 0.0000 0.0000  6 Se 2.51
2 Hf 0.5000 0.5000 0.5000  12 Se 3.55
3 Se 0.0000 0.5000 0.0000  2 Sc 2.51
4 Se 0.0000 0.0000 0.5000  2 Sc 2.51
5 Se 0.5000 0.0000 0.0000  2 Sc 2.51